{
  "formula": "Th2Ge3Os",
  "functional": "PBE",
  "state": "relaxed",
  "cell": [[0.000, 4.303, 7.359], [4.181, 0.000, 7.359], [4.181, 4.303, 0.000]],
  "species": ["Th", "Th", "Th", "Th", "Ge", "Ge", "Ge", "Ge", "Ge", "Ge", "Os", "Os"],
  "fractional_positions": [[0.239, 0.761, 0.761], [0.250, 0.250, 0.250], [0.750, 0.750, 0.750], [0.761, 0.239, 0.239], [0.168, 0.662, 0.338], [0.329, 0.329, 0.671], [0.338, 0.832, 0.168], [0.662, 0.168, 0.832], [0.671, 0.671, 0.329], [0.832, 0.338, 0.662], [0.163, 0.163, 0.837], [0.837, 0.837, 0.163]],
  "dft_energy_ev_per_atom": -7.2587,
  "polymorph_energy_mev_per_atom": 0,
  "dos_ef_per_ev_cell": 6.955,
  "e_form_mev_per_atom": -605.1,
  "total_magnetization_mub_per_fu": 0.000
}